# AcErHgRu

A relaxed structure of AcErHgRu (PBE, Alexandria via LeMat-Bulk).

Cell lengths 5.239, 5.239, 5.239 Å; angles 60.00, 60.00, 60.00 degrees
Positions (direct):
Ru 0.750 0.750 0.750
Ac 0.000 0.000 0.000
Er 0.500 0.500 0.500
Hg 0.250 0.250 0.250

Computed properties:
Size of the total moment = 0.00 Bohr magnetons per cell
Formation energy = -189 meV per atom

# PrTa2ReC4

A relaxed structure of PrTa2ReC4 (PBE, Alexandria via LeMat-Bulk).

Cell lengths 3.314, 6.009, 11.212 Å; angles 90.00, 90.00, 106.01 degrees
Positions (direct):
Re 0.163 0.327 0.250
C 0.569 0.138 0.250
C 0.263 0.526 0.390
C 0.737 0.474 0.890
Ta 0.373 0.745 0.538
C 0.000 0.000 0.000
C 0.431 0.862 0.750
Pr 0.101 0.201 0.750
Pr 0.899 0.799 0.250
C 0.737 0.474 0.610
C 0.000 0.000 0.500
Re 0.837 0.673 0.750
Ta 0.627 0.255 0.462
Ta 0.373 0.745 0.962
C 0.263 0.526 0.110
Ta 0.627 0.255 0.038

Computed properties:
Size of the total moment = 0.00 Bohr magnetons per cell
Formation energy = -187 meV per atom

| no. | mass density (g/cm3) |
| --- | --- |
| 1 | 11.37 |
| 2 | 11.40 |